(w)
# HgB2Cl8

A geometry-optimized HgB2Cl8 structure (PBE-GGA, the Alexandria database).

Results
total magnetization: 0.000 μB per cell

Cell lengths 17.139, 9.053, 10.673 Å; angles 90.00, 125.69, 90.00 degrees
Space group C2/c (No. 15)
Inequivalent atoms, fractional coordinates:
Hg  0.000  0.002  0.250 [4 per cell]
B  0.091  0.237  0.051 [8 per cell]
Cl  0.039  0.224  0.609 [8 per cell]
Cl  0.109  0.213  0.244 [8 per cell]
Cl  0.144  0.410  0.056 [8 per cell]
Cl  0.154  0.076  0.029 [8 per cell]

***

(x)
# HgB2Cl8

A geometry-optimized HgB2Cl8 structure (PBE-GGA, the Alexandria database).

Results
total magnetization: 0.000 μB per cell

Cell lengths 11.742, 9.823, 5.815 Å; angles 90.00, 98.65, 90.00 degrees
Space group C2/m (No. 12)
Inequivalent atoms, fractional coordinates:
Hg  0.000  0.000  0.000 [2 per cell]
B  0.204  0.000  0.663 [4 per cell]
Cl  0.123  0.155  0.748 [8 per cell]
Cl  0.148  0.500  0.195 [4 per cell]
Cl  0.203  0.000  0.341 [4 per cell]

***

Most favorable structure: (w). The second most favorable one is 9 meV/atom above it.

***

(w)
# HgBCl3

A geometry-optimized HgBCl3 structure (PBE-GGA, the Alexandria database).

Results
total magnetization: 0.000 μB per cell

Cell lengths 5.264, 5.264, 5.264 Å; angles 90.00, 90.00, 90.00 degrees
Space group Pm-3m (No. 221)
Inequivalent atoms, fractional coordinates:
Hg  0.000  0.000  0.000 [1 per cell]
B  0.500  0.500  0.500 [1 per cell]
Cl  0.000  0.000  0.500 [3 per cell]

***

(x)
# HgBCl3

A geometry-optimized HgBCl3 structure (PBE-GGA, the Alexandria database).

Results
total magnetization: 0.000 μB per cell

Cell lengths 4.528, 4.528, 4.528 Å; angles 90.00, 90.00, 90.00 degrees
Space group Pm-3m (No. 221)
Inequivalent atoms, fractional coordinates:
Hg  0.000  0.000  0.000 [1 per cell]
B  0.500  0.500  0.500 [1 per cell]
Cl  0.000  0.500  0.500 [3 per cell]

***

Most favorable structure: (x). The second most favorable one is 449 meV/atom above it.

***

(w)
# HgBP2Cl

A geometry-optimized HgBP2Cl structure (PBE-GGA, the Alexandria database).

Results
total magnetization: 0.383 μB per cell

Cell lengths 3.917, 3.917, 7.611 Å; angles 90.00, 90.00, 90.00 degrees
Space group P4/mmm (No. 123)
Inequivalent atoms, fractional coordinates:
Hg  0.000  0.000  0.000 [1 per cell]
B  0.500  0.500  0.500 [1 per cell]
P  0.000  0.500  0.500 [2 per cell]
Cl  0.500  0.500  0.000 [1 per cell]

***

(x)
# HgBP2Cl

A geometry-optimized HgBP2Cl structure (PBE-GGA, the Alexandria database).

Results
total magnetization: 1.747 μB per cell

Cell lengths 4.974, 4.974, 5.623 Å; angles 90.00, 90.00, 90.00 degrees
Space group P4/mmm (No. 123)
Inequivalent atoms, fractional coordinates:
Hg  0.000  0.000  0.000 [1 per cell]
B  0.500  0.500  0.500 [1 per cell]
P  0.000  0.500  0.000 [2 per cell]
Cl  0.000  0.000  0.500 [1 per cell]

***

Most favorable structure: (w). The second most favorable one is 1138 meV/atom above it.

***

(w)
# HgBPCl2

A geometry-optimized HgBPCl2 structure (PBE-GGA, the Alexandria database).

Results
total magnetization: 1.690 μB per cell

Cell lengths 5.402, 5.402, 5.012 Å; angles 90.00, 90.00, 90.00 degrees
Space group P4/mmm (No. 123)
Inequivalent atoms, fractional coordinates:
Hg  0.000  0.000  0.000 [1 per cell]
B  0.500  0.500  0.500 [1 per cell]
P  0.000  0.000  0.500 [1 per cell]
Cl  0.000  0.500  0.000 [2 per cell]

***

(x)
# HgBPCl2

A geometry-optimized HgBPCl2 structure (PBE-GGA, the Alexandria database).

Results
total magnetization: 0.000 μB per cell

Cell lengths 4.289, 4.289, 4.780 Å; angles 90.00, 90.00, 90.00 degrees
Space group P4/mmm (No. 123)
Inequivalent atoms, fractional coordinates:
Hg  0.000  0.000  0.000 [1 per cell]
B  0.500  0.500  0.500 [1 per cell]
P  0.500  0.500  0.000 [1 per cell]
Cl  0.000  0.500  0.500 [2 per cell]

***

Most favorable structure: (x). The second most favorable one is 733 meV/atom above it.

***

(w)
# HgBS2Cl

A geometry-optimized HgBS2Cl structure (PBE-GGA, the Alexandria database).

Results
total magnetization: 0.976 μB per cell

Cell lengths 4.985, 4.985, 5.388 Å; angles 90.00, 90.00, 90.00 degrees
Space group P4/mmm (No. 123)
Inequivalent atoms, fractional coordinates:
Hg  0.000  0.000  0.000 [1 per cell]
B  0.500  0.500  0.500 [1 per cell]
S  0.000  0.500  0.000 [2 per cell]
Cl  0.000  0.000  0.500 [1 per cell]

***

(x)
# HgBS2Cl

A geometry-optimized HgBS2Cl structure (PBE-GGA, the Alexandria database).

Results
total magnetization: 0.000 μB per cell

Cell lengths 4.387, 4.387, 4.371 Å; angles 90.00, 90.00, 90.00 degrees
Space group P4/mmm (No. 123)
Inequivalent atoms, fractional coordinates:
Hg  0.000  0.000  0.000 [1 per cell]
B  0.500  0.500  0.500 [1 per cell]
S  0.000  0.500  0.500 [2 per cell]
Cl  0.500  0.500  0.000 [1 per cell]

***

Most favorable structure: (x). The second most favorable one is 838 meV/atom above it.

***

(w)
# HgBSCl2

A geometry-optimized HgBSCl2 structure (PBE-GGA, the Alexandria database).

Results
total magnetization: 0.406 μB per cell

Cell lengths 5.245, 5.245, 5.003 Å; angles 90.00, 90.00, 90.00 degrees
Space group P4/mmm (No. 123)
Inequivalent atoms, fractional coordinates:
Hg  0.000  0.000  0.000 [1 per cell]
B  0.500  0.500  0.500 [1 per cell]
S  0.000  0.000  0.500 [1 per cell]
Cl  0.000  0.500  0.000 [2 per cell]

***

(x)
# HgBSCl2

A geometry-optimized HgBSCl2 structure (PBE-GGA, the Alexandria database).

Results
total magnetization: 0.000 μB per cell

Cell lengths 4.274, 4.274, 4.808 Å; angles 90.00, 90.00, 90.00 degrees
Space group P4/mmm (No. 123)
Inequivalent atoms, fractional coordinates:
Hg  0.000  0.000  0.000 [1 per cell]
B  0.500  0.500  0.500 [1 per cell]
S  0.500  0.500  0.000 [1 per cell]
Cl  0.000  0.500  0.500 [2 per cell]

***

Most favorable structure: (x). The second most favorable one is 692 meV/atom above it.

***

(w)
# HoBCl

A geometry-optimized HoBCl structure (PBE-GGA, the Alexandria database).

Results
total magnetization: 0.000 μB per cell

Cell lengths 6.005, 3.467, 11.130 Å; angles 90.00, 91.49, 90.00 degrees
Space group C2/m (No. 12)
Inequivalent atoms, fractional coordinates:
Ho  0.008  0.000  0.162 [4 per cell]
B  0.166  0.500  0.994 [4 per cell]
Cl  0.182  0.500  0.326 [4 per cell]

***

(x)
# HoBCl

A geometry-optimized HoBCl structure (PBE-GGA, the Alexandria database).

Results
total magnetization: 0.000 μB per cell

Cell lengths 20.427, 3.549, 3.261 Å; angles 90.00, 90.67, 90.00 degrees
Space group C2/m (No. 12)
Inequivalent atoms, fractional coordinates:
Ho  0.081  0.000  0.256 [4 per cell]
B  0.009  0.500  0.751 [4 per cell]
Cl  0.160  0.500  0.762 [4 per cell]

***

Most favorable structure: (w). The second most favorable one is 101 meV/atom above it.

***

(w)
# BICl3

A geometry-optimized BICl3 structure (PBE-GGA, the Alexandria database).

Results
total magnetization: 0.000 μB per cell

Cell lengths 5.794, 6.603, 10.332 Å; angles 89.96, 86.24, 89.80 degrees
Space group P1 (No. 1)
Inequivalent atoms, fractional coordinates:
B  0.000  0.000  0.000 [1 per cell]
B  0.441  0.500  0.420 [1 per cell]
I  0.073  0.362  0.548 [1 per cell]
I  0.369  0.862  0.871 [1 per cell]
Cl  0.444  0.765  0.434 [1 per cell]
Cl  0.463  0.386  0.266 [1 per cell]
Cl  0.573  0.356  0.552 [1 per cell]
Cl  0.869  0.857  0.867 [1 per cell]
Cl  0.978  0.886  0.153 [1 per cell]
Cl  0.995  0.265  0.985 [1 per cell]

***

(x)
# BICl3

A geometry-optimized BICl3 structure (PBE-GGA, the Alexandria database).

Results
total magnetization: 1.528 μB per cell

Cell lengths 4.652, 4.652, 4.652 Å; angles 90.00, 90.00, 90.00 degrees
Space group Pm-3m (No. 221)
Inequivalent atoms, fractional coordinates:
B  0.000  0.000  0.000 [1 per cell]
I  0.500  0.500  0.500 [1 per cell]
Cl  0.000  0.000  0.500 [3 per cell]

***

(y)
# BICl3

A geometry-optimized BICl3 structure (PBE-GGA, the Alexandria database).

Results
total magnetization: 0.388 μB per cell

Cell lengths 5.522, 5.522, 5.522 Å; angles 90.00, 90.00, 90.00 degrees
Space group Pm-3m (No. 221)
Inequivalent atoms, fractional coordinates:
B  0.000  0.000  0.000 [1 per cell]
I  0.500  0.500  0.500 [1 per cell]
Cl  0.000  0.500  0.500 [3 per cell]

***

(z)
# BICl3

A geometry-optimized BICl3 structure (PBE-GGA, the Alexandria database).

Results
total magnetization: 3.019 μB per cell

Cell lengths 7.8401, 7.8401, 11.3605 Å; angles 90.00, 90.00, 120.00 degrees
Space group R3m (No. 160, hexagonal axes)
Inequivalent atoms, fractional coordinates:
B  0.0000  0.0000  0.0000 [3 per cell]
I  0.0000  0.0000  0.3585 [3 per cell]
Cl  0.2048  0.4097  0.6650 [9 per cell]

***

Most favorable structure: (w). The second most favorable one is 44 meV/atom above it.